Record 1
Here is a relaxed NaNdInGe crystal from Alexandria. Energies are from PBE.

Structure (POSCAR):
```
NaNdInGe
1.0
-2.3863 4.0749 -2.2950
-5.0252 1.0560 1.0945
-1.2345 4.2502 2.8244
Na In Ge Nd
1 1 1 1
Cartesian
-4.3230 4.6906 0.8120
-6.4845 7.0358 1.2179
-2.1615 2.3453 0.4060
0.0000 0.0000 0.0000
```

Formation energy = -0.26 eV/atom
Symmetry = F-43m

---

Record 2
Here is a relaxed CsHg2SbPb crystal from Alexandria. Energies are from PBE.

Structure (POSCAR):
```
CsHg2SbPb
1.0
6.1000 0.0000 0.0000
0.0000 6.1000 0.0000
0.0000 0.0000 6.0625
Hg Cs Pb Sb
2 1 1 1
Cartesian
0.0000 3.0500 0.0000
3.0500 0.0000 0.0000
3.0500 3.0500 3.0313
0.0000 0.0000 0.0000
0.0000 0.0000 3.0313
```

Distance to the lowest polymorph of the same formula = 0.161 eV/atom
Symmetry = P4/mmm

---

Record 3
Here is a relaxed IrPdIO2 crystal from Alexandria. Energies are from PBE.

Structure (POSCAR):
```
IrPdIO2
1.0
3.7756 0.0000 0.0000
0.0000 3.7756 0.0000
0.0000 0.0000 8.2174
I O Pd Ir
1 2 1 1
Cartesian
0.0000 0.0000 4.1087
0.0000 1.8878 0.0000
1.8878 0.0000 0.0000
0.0000 0.0000 0.0000
1.8878 1.8878 4.1087
```

Distance to the lowest polymorph of the same formula = 0.886 eV/atom
Symmetry = P4/mmm

---

Record 4
Here is a relaxed NaRe4S8 crystal from Alexandria. Energies are from PBE.

Structure (POSCAR):
```
NaRe4S8
1.0
5.5156 -0.0004 -2.9758
-3.5604 5.1577 -0.0003
1.0675 0.7377 8.5784
S Re Na
8 4 1
Cartesian
2.9533 3.9423 -1.1262
0.0695 1.9526 6.7285
1.9757 1.3638 0.3618
1.0471 4.5311 5.2405
0.1944 3.9419 0.3597
2.8284 1.9530 5.2426
-1.7105 4.5313 6.7283
4.7333 1.3636 -1.1260
2.7578 -0.0002 -1.4879
0.0000 0.0000 0.0000
-0.7127 3.3165 8.5782
0.9776 2.5786 -1.4881
-1.2464 2.9477 4.2890
```

Symmetry = R-3m
Calculated total energy = -6.770 eV per atom

---

One value per record, in order, for total moment: 0.0 0.0 0.0 0.0 μB per formula unit.
One value per record, in order, for calculated volume: 102.3 225.6 117.1 268.2 Å³/cell.